[1]
{
  "formula": "Cs6TlHg12",
  "functional": "PBE",
  "state": "optimized geometry",
  "lattice": [[-4.141, -3.771, -7.848], [9.221, -1.762, -2.198], [-1.488, -7.304, 6.116]],
  "species": ["Cs", "Cs", "Cs", "Cs", "Cs", "Cs", "Tl", "Hg", "Hg", "Hg", "Hg", "Hg", "Hg", "Hg", "Hg", "Hg", "Hg", "Hg", "Hg"],
  "frac_coords": [[0.055, 0.258, 0.441], [0.742, 0.559, 0.945], [0.559, 0.945, 0.742], [0.945, 0.742, 0.559], [0.258, 0.441, 0.055], [0.441, 0.055, 0.258], [0.000, 0.000, 0.000], [0.429, 0.297, 0.701], [0.297, 0.701, 0.429], [0.701, 0.429, 0.297], [0.571, 0.703, 0.299], [0.703, 0.299, 0.571], [0.299, 0.571, 0.703], [0.199, 0.074, 0.770], [0.230, 0.801, 0.926], [0.926, 0.230, 0.801], [0.801, 0.926, 0.230], [0.770, 0.199, 0.074], [0.074, 0.770, 0.199]],
  "formation_enthalpy_0k_ev_per_atom": -0.201,
  "space_group": "R-3"
}


[2]
{
  "formula": "SiSbSeBr2",
  "functional": "PBE",
  "state": "optimized geometry",
  "lattice": [[5.518, 0.000, 0.000], [0.000, 5.518, 0.000], [0.000, 0.000, 5.485]],
  "species": ["Sb", "Si", "Se", "Br", "Br"],
  "frac_coords": [[0.000, 0.000, 0.000], [0.500, 0.500, 0.500], [0.000, 0.000, 0.500], [0.000, 0.500, 0.000], [0.500, 0.000, 0.000]],
  "space_group": "P4/mmm",
  "relative_energy_mev_per_atom": 273.4,
  "formation_energy_uncorrected_ev_per_atom": 0.48
}


[3]
{
  "formula": "MgF5",
  "functional": "PBE",
  "state": "optimized geometry",
  "lattice": [[-2.641, 0.221, 1.160], [-0.483, -3.205, -0.487], [2.854, 0.266, 6.445]],
  "species": ["Mg", "F", "F", "F", "F", "F"],
  "frac_coords": [[0.000, 0.000, 0.000], [0.000, 0.660, 0.320], [0.000, 0.340, 0.680], [0.500, 0.500, 0.000], [0.500, 0.131, 0.261], [0.500, 0.869, 0.739]],
  "space_group": "Cmmm",
  "formation_energy_uncorrected_ev_per_atom": -1.22
}


[4]
{
  "formula": "Cs3KTi",
  "functional": "PBE",
  "state": "optimized geometry",
  "lattice": [[7.585, 0.000, 0.000], [0.000, 7.585, 0.000], [0.000, 0.000, 7.585]],
  "species": ["Cs", "Cs", "Cs", "K", "Ti"],
  "frac_coords": [[0.000, 0.500, 0.000], [0.000, 0.000, 0.500], [0.500, 0.000, 0.000], [0.500, 0.500, 0.500], [0.000, 0.000, 0.000]],
  "formation_enthalpy_0k_ev_per_atom": 0.738,
  "space_group": "Pm-3m",
  "relative_energy_mev_per_atom": 0.0
}